## ZrZnCu2 (PBE-GGA)

Data for crystalline ZrZnCu2 at its relaxed geometry.

Computed properties:
DOS at the Fermi energy (states/eV per atom): 0.597
ρ (Mg/m³): 7.492
Magnetic moment (μB/cell): 0.00
Raw total energy (eV/atom): -4.41
DFT formation energy (eV/f.u.): 0.4

a b c (Å): 2.8666 2.8666 26.5092
angles (deg): 90.00 90.00 120.00
Space group R-3m (No. 166, hexagonal axes)
Symmetry-distinct sites (fractional):
1 Zr 0.0000 0.0000 0.0000 [3 per cell]
2 Zn 0.0000 0.0000 0.5000 [3 per cell]
3 Cu 0.0000 0.0000 0.2435 [6 per cell]

=====

## ZrZn2Cu (PBE-GGA)

Data for crystalline ZrZn2Cu at its relaxed geometry.

Computed properties:
DOS at the Fermi energy (states/eV per atom): 0.406
ρ (Mg/m³): 7.213
Magnetic moment (μB/cell): 0.00
Raw total energy (eV/atom): -3.86
DFT formation energy (eV/f.u.): -0.2

a b c (Å): 8.664 2.923 5.293
angles (deg): 90.00 101.16 90.00
Space group Cm (No. 8)
Symmetry-distinct sites (fractional):
1 Zr 0.000 0.000 0.000 [2 per cell]
2 Zn 0.006 0.500 0.510 [2 per cell]
3 Zn 0.263 0.500 0.313 [2 per cell]
4 Cu 0.244 0.000 0.728 [2 per cell]

=====

## Zr2Zn2Cu (PBE-GGA)

Data for crystalline Zr2Zn2Cu at its relaxed geometry.

Computed properties:
DOS at the Fermi energy (states/eV per atom): 0.969
ρ (Mg/m³): 7.084
Offset from the most stable computed form (eV per atom): 0.0000
Magnetic moment (μB/cell): 0.00
Raw total energy (eV/atom): -4.93
DFT formation energy (eV/f.u.): -0.9

a b c (Å): 9.891 4.320 8.959
angles (deg): 90.00 112.61 90.00
Space group C2/m (No. 12)
Symmetry-distinct sites (fractional):
1 Zr 0.022 0.000 0.333 [4 per cell]
2 Zr 0.177 0.000 0.087 [4 per cell]
3 Zn 0.019 0.500 0.871 [4 per cell]
4 Zn 0.139 0.500 0.573 [4 per cell]
5 Cu 0.234 0.500 0.334 [4 per cell]

=====

## ZrZnCu2 (PBE-GGA)

Data for crystalline ZrZnCu2 at its relaxed geometry.

Computed properties:
DOS at the Fermi energy (states/eV per atom): 0.518
ρ (Mg/m³): 7.558
Magnetic moment (μB/cell): 0.00
Raw total energy (eV/atom): -4.52
DFT formation energy (eV/f.u.): -0.1

a b c (Å): 8.561 2.729 5.394
angles (deg): 90.00 98.39 90.00
Space group C2/m (No. 12)
Symmetry-distinct sites (fractional):
1 Zr 0.000 0.000 0.000 [2 per cell]
2 Zn 0.000 0.500 0.500 [2 per cell]
3 Cu 0.243 0.000 0.708 [4 per cell]

=====

## ZrZn3Cu (PBE-GGA)

Data for crystalline ZrZn3Cu at its relaxed geometry.

Computed properties:
DOS at the Fermi energy (states/eV per atom): 0.537
ρ (Mg/m³): 6.563
Offset from the most stable computed form (eV per atom): 0.3613
Magnetic moment (μB/cell): 0.00
Raw total energy (eV/atom): -3.10
DFT formation energy (eV/f.u.): 0.9

a b c (Å): 4.462 4.462 4.462
angles (deg): 90.00 90.00 90.00
Space group Pm-3m (No. 221)
Symmetry-distinct sites (fractional):
1 Zr 0.000 0.000 0.000 [1 per cell]
2 Zn 0.000 0.500 0.500 [3 per cell]
3 Cu 0.500 0.500 0.500 [1 per cell]

=====

## ZrZn3Cu (PBE-GGA)

Data for crystalline ZrZn3Cu at its relaxed geometry.

Computed properties:
DOS at the Fermi energy (states/eV per atom): 0.420
ρ (Mg/m³): 7.419
Offset from the most stable computed form (eV per atom): 0.0000
Magnetic moment (μB/cell): 0.00
Raw total energy (eV/atom): -3.47
DFT formation energy (eV/f.u.): -0.9

a b c (Å): 5.972 4.117 6.743
angles (deg): 90.00 108.60 90.00
Space group P2_1/m (No. 11)
Symmetry-distinct sites (fractional):
1 Zr 0.165 0.250 0.198 [2 per cell]
2 Zn 0.153 0.250 0.771 [2 per cell]
3 Zn 0.359 0.750 0.970 [2 per cell]
4 Zn 0.491 0.250 0.624 [2 per cell]
5 Cu 0.189 0.750 0.554 [2 per cell]

=====

## ZrZn20Cu2 (PBE-GGA)

Data for crystalline ZrZn20Cu2 at its relaxed geometry.

Computed properties:
DOS at the Fermi energy (states/eV per atom): 0.350
ρ (Mg/m³): 7.355
Magnetic moment (μB/cell): 0.00
Raw total energy (eV/atom): -1.94
DFT formation energy (eV/f.u.): -2.4

a b c (Å): 14.022 14.022 14.022
angles (deg): 90.00 90.00 90.00
Space group Fd-3m (No. 227, origin choice 2)
Symmetry-distinct sites (fractional):
1 Zr 0.125 0.125 0.125 [8 per cell]
2 Zn 0.000 0.000 0.000 [16 per cell]
3 Zn 0.012 0.375 0.875 [48 per cell]
4 Zn 0.061 0.061 0.321 [96 per cell]
5 Cu 0.000 0.000 0.500 [16 per cell]

=====

## ZrZnCu2 (PBE-GGA)

Data for crystalline ZrZnCu2 at its relaxed geometry.

Computed properties:
DOS at the Fermi energy (states/eV per atom): 0.381
ρ (Mg/m³): 7.442
Magnetic moment (μB/cell): 0.00
Raw total energy (eV/atom): -4.41
DFT formation energy (eV/f.u.): 0.4

a b c (Å): 2.8907 2.8907 26.2424
angles (deg): 90.00 90.00 120.00
Space group R3m (No. 160, hexagonal axes)
Symmetry-distinct sites (fractional):
1 Zr 0.0000 0.0000 0.0000 [3 per cell]
2 Zn 0.0000 0.0000 0.7625 [3 per cell]
3 Cu 0.0000 0.0000 0.2437 [3 per cell]
4 Cu 0.0000 0.0000 0.5046 [3 per cell]

=====

## ZrZn4Cu (PBE-GGA)

Data for crystalline ZrZn4Cu at its relaxed geometry.

Computed properties:
DOS at the Fermi energy (states/eV per atom): 0.642
ρ (Mg/m³): 7.316
Offset from the most stable computed form (eV per atom): 0.0312
Magnetic moment (μB/cell): 0.00
Raw total energy (eV/atom): -2.97
DFT formation energy (eV/f.u.): -0.1

a b c (Å): 7.231 7.231 7.231
angles (deg): 90.00 90.00 90.00
Space group F-43m (No. 216)
Symmetry-distinct sites (fractional):
1 Zr 0.000 0.000 0.000 [4 per cell]
2 Zn 0.125 0.125 0.375 [16 per cell]
3 Cu 0.250 0.250 0.750 [4 per cell]

=====

## ZrZn7Cu5 (PBE-GGA)

Data for crystalline ZrZn7Cu5 at its relaxed geometry.

Computed properties:
DOS at the Fermi energy (states/eV per atom): 0.428
ρ (Mg/m³): 7.811
Magnetic moment (μB/cell): 0.00
Raw total energy (eV/atom): -3.07
DFT formation energy (eV/f.u.): -1.9

a b c (Å): 4.937 8.682 8.599
angles (deg): 90.00 90.00 90.00
Space group Imm2 (No. 44)
Symmetry-distinct sites (fractional):
1 Zr 0.000 0.000 0.000 [2 per cell]
2 Zn 0.000 0.000 0.348 [2 per cell]
3 Zn 0.000 0.000 0.661 [2 per cell]
4 Zn 0.000 0.295 0.504 [4 per cell]
5 Zn 0.000 0.346 0.010 [4 per cell]
6 Zn 0.000 0.500 0.721 [2 per cell]
7 Cu 0.000 0.500 0.288 [2 per cell]
8 Cu 0.249 0.250 0.757 [8 per cell]

=====

## ZrZn2Cu2 (PBE-GGA)

Data for crystalline ZrZn2Cu2 at its relaxed geometry.

Computed properties:
DOS at the Fermi energy (states/eV per atom): 0.318
ρ (Mg/m³): 7.748
Offset from the most stable computed form (eV per atom): 0.0076
Magnetic moment (μB/cell): 0.00
Raw total energy (eV/atom): -3.95
DFT formation energy (eV/f.u.): -0.5

a b c (Å): 7.438 7.438 2.705
angles (deg): 90.00 90.00 90.00
Space group P4/mbm (No. 127)
Symmetry-distinct sites (fractional):
1 Zr 0.000 0.000 0.000 [2 per cell]
2 Zn 0.123 0.377 0.000 [4 per cell]
3 Cu 0.174 0.674 0.500 [4 per cell]

=====

## ZrZn2Cu (PBE-GGA)

Data for crystalline ZrZn2Cu at its relaxed geometry.

Computed properties:
DOS at the Fermi energy (states/eV per atom): 0.593
ρ (Mg/m³): 7.253
Magnetic moment (μB/cell): 0.00
Raw total energy (eV/atom): -3.85
DFT formation energy (eV/f.u.): -0.2

a b c (Å): 2.954 4.683 9.453
angles (deg): 90.00 90.00 90.00
Space group Immm (No. 71)
Symmetry-distinct sites (fractional):
1 Zr 0.000 0.000 0.000 [2 per cell]
2 Zn 0.000 0.500 0.224 [4 per cell]
3 Cu 0.000 0.000 0.500 [2 per cell]